Crystalline Pm2NbCd at its relaxed geometry. Source: the Alexandria database, functional GGA-PBE.

Cell: 3.2266 3.2266 35.0603 Å, 90.00 90.00 120.00°
Closest atoms and distances in Å follow each position.
Space group R-3m (No. 166, hexagonal axes)
Asymmetric unit:
Pm 0.0000 0.0000 0.0845  1 Nb 2.96, 6 Pm 3.23
Nb 0.0000 0.0000 0.0000  2 Pm 2.96, 6 Nb 3.23
Cd 0.0000 0.0000 0.5000  6 Cd 3.23, 6 Pm 3.43

## Properties
Energy of formation from the pure elements (meV/atom): 492
Crystal system: trigonal

---

Crystalline PmNbCd at its relaxed geometry. Source: the Alexandria database, functional GGA-PBE.

Cell: 3.5612 4.8871 8.4863 Å, 91.09 102.05 90.00°
Closest atoms and distances in Å follow each position.
Space group P-1 (No. 2)
Asymmetric unit:
Pm 0.0786 0.2543 0.1546  4 Cd 3.09-3.10, 2 Nb 3.26
Nb 0.2580 0.7350 0.5160  4 Nb 2.91-3.16, 4 Cd 2.95-3.21, 2 Pm 3.26
Cd 0.3823 0.2427 0.7664  4 Nb 2.95-3.21, 4 Pm 3.09-3.10

## Properties
Energy of formation from the pure elements (meV/atom): 104
Crystal system: triclinic

---

Crystalline Pr2NbCd at its relaxed geometry. Source: the Alexandria database, functional GGA-PBE.

Cell: 3.2634 3.2634 35.4317 Å, 90.00 90.00 120.00°
Closest atoms and distances in Å follow each position.
Space group R-3m (No. 166, hexagonal axes)
Asymmetric unit:
Pr 0.0000 0.0000 0.0841  1 Nb 2.98, 6 Pr 3.26
Nb 0.0000 0.0000 0.0000  2 Pr 2.98, 6 Nb 3.26
Cd 0.0000 0.0000 0.5000  6 Cd 3.26, 6 Pr 3.48

## Properties
Energy of formation from the pure elements (meV/atom): 520
Crystal system: trigonal

---

Crystalline NbCd3Pt12 at its relaxed geometry. Source: the Alexandria database, functional GGA-PBE.

Cell: 4.0244 4.0244 16.1604 Å, 90.00 90.00 90.00°
Closest atoms and distances in Å follow each position.
Space group P4/mmm (No. 123)
Asymmetric unit:
Nb 0.0000 0.0000 0.0000  12 Pt 2.78-2.85
Cd 0.0000 0.0000 0.2492  12 Pt 2.85-2.91
Cd 0.0000 0.0000 0.5000  12 Pt 2.85-2.86
Pt 0.0000 0.5000 0.1188  2 Nb 2.78, 8 Pt 2.78-2.89, 2 Cd 2.91
Pt 0.0000 0.5000 0.3741  8 Pt 2.85-2.87, 4 Cd 2.85-2.86
Pt 0.5000 0.5000 0.0000  8 Pt 2.78, 4 Nb 2.85
Pt 0.5000 0.5000 0.2471  4 Cd 2.85, 8 Pt 2.87-2.89
Pt 0.5000 0.5000 0.5000  4 Cd 2.85, 8 Pt 2.86

## Properties
Energy of formation from the pure elements (meV/atom): -344
Crystal system: tetragonal

---

Crystalline Nb4CdPt5 at its relaxed geometry. Source: the Alexandria database, functional GGA-PBE.

Cell: 2.8576 2.8576 20.5043 Å, 90.00 90.00 90.00°
Closest atoms and distances in Å follow each position.
Space group P4/mmm (No. 123)
Asymmetric unit:
Nb 0.0000 0.0000 0.0997  4 Nb 2.86, 8 Pt 2.87
Nb 0.0000 0.0000 0.2995  8 Pt 2.80-2.88, 4 Nb 2.86
Cd 0.0000 0.0000 0.5000  4 Cd 2.86, 8 Pt 2.97
Pt 0.5000 0.5000 0.0000  4 Pt 2.86, 8 Nb 2.87
Pt 0.5000 0.5000 0.1994  4 Pt 2.86, 8 Nb 2.87-2.88
Pt 0.5000 0.5000 0.3939  4 Nb 2.80, 4 Pt 2.86, 4 Cd 2.97

## Properties
Energy of formation from the pure elements (meV/atom): -615
Crystal system: tetragonal

---

Crystalline Nb2CdPt at its relaxed geometry. Source: the Alexandria database, functional GGA-PBE.

Cell: 7.6597 7.6597 5.4133 Å, 90.00 90.00 90.00°
Closest atoms and distances in Å follow each position.
Space group I-42d (No. 122)
Asymmetric unit:
Nb 0.2139 0.2500 0.1250  2 Pt 2.61, 2 Nb 2.76
Cd 0.0000 0.0000 0.5000  2 Pt 2.71, 4 Nb 2.99
Pt 0.0000 0.0000 0.0000  4 Nb 2.61, 2 Cd 2.71

## Properties
Energy of formation from the pure elements (meV/atom): 229
Crystal system: tetragonal

---

Crystalline Nb3CdPt at its relaxed geometry. Source: the Alexandria database, functional GGA-PBE.

Cell: 4.9189 4.9189 4.9189 Å, 90.00 90.00 90.00°
Closest atoms and distances in Å follow each position.
Space group Pm-3m (No. 221)
Asymmetric unit:
Nb 0.0000 0.0000 0.5000  2 Cd 2.46
Cd 0.0000 0.0000 0.0000  6 Nb 2.46
Pt 0.5000 0.5000 0.5000  12 Nb 3.48

## Properties
Energy of formation from the pure elements (meV/atom): 2003
Polymorph energy (0 for the lowest one) (eV/atom): 1.057
Crystal system: cubic

---

Crystalline NbCd2Pt9 at its relaxed geometry. Source: the Alexandria database, functional GGA-PBE.

Cell: 4.0164 4.0164 12.1273 Å, 90.00 90.00 90.00°
Closest atoms and distances in Å follow each position.
Space group P4/mmm (No. 123)
Asymmetric unit:
Nb 0.0000 0.0000 0.0000  12 Pt 2.78-2.84
Cd 0.0000 0.0000 0.3333  12 Pt 2.84-2.92
Pt 0.0000 0.5000 0.1589  8 Pt 2.78-2.89, 2 Nb 2.78, 2 Cd 2.92
Pt 0.0000 0.5000 0.5000  8 Pt 2.84-2.88, 4 Cd 2.85
Pt 0.5000 0.5000 0.0000  8 Pt 2.78, 4 Nb 2.84
Pt 0.5000 0.5000 0.3299  4 Cd 2.84, 8 Pt 2.88-2.89

## Properties
Energy of formation from the pure elements (meV/atom): -397
Crystal system: tetragonal

---

Crystalline Nb3CdPt at its relaxed geometry. Source: the Alexandria database, functional GGA-PBE.

Cell: 4.9255 4.9255 4.9255 Å, 90.00 90.00 90.00°
Closest atoms and distances in Å follow each position.
Space group Pm-3m (No. 221)
Asymmetric unit:
Nb 0.0000 0.0000 0.5000  2 Pt 2.46
Cd 0.5000 0.5000 0.5000  12 Nb 3.48
Pt 0.0000 0.0000 0.0000  6 Nb 2.46

## Properties
Energy of formation from the pure elements (meV/atom): 946
Polymorph energy (0 for the lowest one) (eV/atom): 0.000
Crystal system: cubic

---

Crystalline NbCdPt6 at its relaxed geometry. Source: the Alexandria database, functional GGA-PBE.

Cell: 4.0244 4.0244 8.0201 Å, 90.00 90.00 90.00°
Closest atoms and distances in Å follow each position.
Space group P4/mmm (No. 123)
Asymmetric unit:
Nb 0.0000 0.0000 0.0000  12 Pt 2.78-2.85
Cd 0.0000 0.0000 0.5000  12 Pt 2.85-2.90
Pt 0.0000 0.5000 0.2393  2 Nb 2.78, 8 Pt 2.78-2.90, 2 Cd 2.90
Pt 0.5000 0.5000 0.0000  8 Pt 2.78, 4 Nb 2.85
Pt 0.5000 0.5000 0.5000  4 Cd 2.85, 8 Pt 2.90

## Properties
Energy of formation from the pure elements (meV/atom): -509
Crystal system: tetragonal

---

Crystalline NbCdPtRh at its relaxed geometry. Source: the Alexandria database, functional GGA-PBE.

Cell: 6.4660 6.4660 6.4660 Å, 90.00 90.00 90.00°
Closest atoms and distances in Å follow each position.
Space group F-43m (No. 216)
Asymmetric unit:
Nb 0.0000 0.0000 0.0000  4 Rh 2.80, 4 Pt 2.80
Cd 0.0000 0.0000 0.5000  4 Pt 2.80, 4 Rh 2.80
Pt 0.2500 0.2500 0.7500  4 Cd 2.80, 4 Nb 2.80
Rh 0.2500 0.2500 0.2500  4 Cd 2.80, 4 Nb 2.80

## Properties
Energy of formation from the pure elements (meV/atom): -282
Crystal system: cubic

---

Crystalline NbZnCdPt at its relaxed geometry. Source: the Alexandria database, functional GGA-PBE.

Cell: 6.4876 6.4876 6.4876 Å, 90.00 90.00 90.00°
Closest atoms and distances in Å follow each position.
Space group F-43m (No. 216)
Asymmetric unit:
Nb 0.0000 0.0000 0.0000  4 Pt 2.81, 4 Zn 2.81
Zn 0.2500 0.2500 0.7500  4 Cd 2.81, 4 Nb 2.81
Cd 0.0000 0.0000 0.5000  4 Pt 2.81, 4 Zn 2.81
Pt 0.2500 0.2500 0.2500  4 Cd 2.81, 4 Nb 2.81

## Properties
Energy of formation from the pure elements (meV/atom): -172
Crystal system: cubic